Below is UTl2OF5 after structural relaxation, with properties calculated at the PBE-GGA level.

Cell: 6.4225 6.4225 9.3972 Å, 90.00 90.00 90.00°
Last column: nearest neighbours and their distance in Å.
Space group I4mm (No. 107)
Inequivalent atoms, fractional coordinates:
U 0.0000 0.0000 0.0000  1 O 1.90
Tl 0.0000 0.5000 0.2667  6 F 3.04-3.21, 2 O 3.27
O 0.0000 0.0000 0.2019  1 U 1.90
F 0.0000 0.0000 0.7728  1 U 2.13
F 0.2379 0.2379 0.9815  1 U 2.17

Values from the calculation:
formation energy (no corrections): -2343 kJ/mol of formula units
electronic total energy: -6.07 eV/atom
volume: 21.53 Å³ per atom
crystal system: tetragonal
magnetization: 1.00 μB/f.u.